# 1
This record from Alexandria describes a relaxed structure of TaCuNi. The functional is GGA-PBEsol.

Output
ΔE to the lowest computed polymorph: 6 meV per atom
SG: No. 44
energy relative to the elements: -0.120 eV/atom

Unit cell a=2.751 b=3.582 c=4.559 alpha=113.13 beta=107.56 gamma=90.00
Atoms (fractional coordinates):
1 Ni 0.339 0.339 0.677
2 Cu 0.993 0.993 0.986
3 Ta 0.668 0.668 0.336

# 2
This record from Alexandria describes a relaxed structure of Ta3CuNi. The functional is GGA-PBEsol.

Output
SG: No. 221
energy relative to the elements: 1.096 eV/atom

Unit cell a=4.515 b=4.515 c=4.515 alpha=90.00 beta=90.00 gamma=90.00
Atoms (fractional coordinates):
1 Ni 0.000 0.000 0.000
2 Cu 0.500 0.500 0.500
3 Ta 0.000 0.500 0.000
4 Ta 0.000 0.000 0.500
5 Ta 0.500 0.000 0.000

# 3
This record from Alexandria describes a relaxed structure of TaCuNi4. The functional is GGA-PBEsol.

Output
SG: No. 216
energy relative to the elements: -0.224 eV/atom

Unit cell a=4.618 b=4.618 c=4.618 alpha=60.00 beta=60.00 gamma=60.00
Atoms (fractional coordinates):
1 Cu 0.000 0.000 0.000
2 Ni 0.375 0.375 0.375
3 Ni 0.375 0.375 0.876
4 Ni 0.876 0.375 0.375
5 Ni 0.375 0.876 0.375
6 Ta 0.750 0.750 0.750

# 4
This record from Alexandria describes a relaxed structure of TaCu2Ni. The functional is GGA-PBEsol.

Output
SG: No. 216
energy relative to the elements: -0.012 eV/atom

Unit cell a=4.145 b=4.145 c=4.145 alpha=60.00 beta=60.00 gamma=60.00
Atoms (fractional coordinates):
1 Cu 0.000 0.000 0.000
2 Cu 0.750 0.750 0.750
3 Ni 0.500 0.500 0.500
4 Ta 0.250 0.250 0.250

# 5
This record from Alexandria describes a relaxed structure of Ta4Cu3Ni9. The functional is GGA-PBEsol.

Output
SG: No. 25
energy relative to the elements: -0.276 eV/atom

Unit cell a=4.261 b=4.433 c=10.248 alpha=90.00 beta=90.00 gamma=90.00
Atoms (fractional coordinates):
1 Ta 0.500 0.663 0.745
2 Ta 0.500 0.663 0.255
3 Ta 0.000 0.335 0.000
4 Ta 0.000 0.349 0.500
5 Cu 0.000 0.311 0.750
6 Cu 0.000 0.311 0.250
7 Cu 0.500 0.688 0.000
8 Ni 0.500 0.679 0.500
9 Ni 0.500 0.166 0.623
10 Ni 0.500 0.168 0.125
11 Ni 0.500 0.168 0.875
12 Ni 0.500 0.166 0.377
13 Ni 0.000 0.837 0.624
14 Ni 0.000 0.829 0.126
15 Ni 0.000 0.829 0.874
16 Ni 0.000 0.837 0.376

# 6
This record from Alexandria describes a relaxed structure of TaCuNi. The functional is GGA-PBEsol.

Output
ΔE to the lowest computed polymorph: 18 meV per atom
SG: No. 107
energy relative to the elements: -0.108 eV/atom

Unit cell a=3.130 b=3.130 c=4.574 alpha=110.01 beta=110.01 gamma=90.00
Atoms (fractional coordinates):
1 Ni 0.661 0.661 0.321
2 Cu 0.009 0.009 0.018
3 Ta 0.331 0.331 0.661

# 7
This record from Alexandria describes a relaxed structure of TaCu2Ni. The functional is GGA-PBEsol.

Output
SG: No. 166
energy relative to the elements: 0.212 eV/atom

Unit cell a=2.665 b=2.665 c=8.594 alpha=81.08 beta=81.08 gamma=60.00
Atoms (fractional coordinates):
1 Cu 0.243 0.243 0.270
2 Cu 0.757 0.757 0.730
3 Ni 0.500 0.500 0.500
4 Ta 0.000 0.000 0.000

# 8
This record from Alexandria describes a relaxed structure of TaCuNi. The functional is GGA-PBEsol.

Output
ΔE to the lowest computed polymorph: 0 meV per atom
SG: No. 187
energy relative to the elements: -0.126 eV/atom

Unit cell a=2.624 b=4.134 c=4.134 alpha=120.00 beta=90.00 gamma=90.00
Atoms (fractional coordinates):
1 Ni 0.000 0.333 0.667
2 Cu 0.000 0.000 0.000
3 Ta 0.500 0.667 0.333